The following is a DFT calculation (GGA-PBE) of crystalline LaNd5Sm6 at its relaxed geometry.

The final energy is -113.845 eV/cell. The calculation puts the formation energy from the elements at 0.013 eV per atom. The density of states at the Fermi level comes out at 1.499 states/eV per atom.

It has space group C2/m (No. 12), with a = 6.3526 Å, b = 11.0074 Å, c = 12.1192 Å, α = 90.00°, β = 100.11° and γ = 90.00°. Symmetry generates all atoms from La at (0.0000, 0.0000, 0.0000), Nd at (0.0000, 0.1669, 0.5000), Nd at (0.0000, 0.3334, 0.0000), Nd at (0.0000, 0.5000, 0.5000), Sm at (0.2504, 0.0000, 0.7490) and Sm at (0.2502, 0.1669, 0.2508).